First-principles (GGA-PBE) data for a relaxed structure of NpGaSn2Br8, as listed in Alexandria via LeMat-Bulk.

The structure belongs to space group P2/m (No. 10); the cell edges are 6.932, 8.936 and 7.172 Å and the angles 90.00°, 90.93° and 90.00°. The inequivalent atoms are Np at (0.000, 0.000, 0.000), Ga at (0.000, 0.500, 0.000), Sn at (0.500, 0.257, 0.500), Br at (0.239, 0.235, 0.158), Br at (0.247, 0.000, 0.676) and Br at (0.275, 0.500, 0.653).

Its crystal system is monoclinic. The raw formation energy comes out at -10.77 eV per formula unit.